A geometry-optimized Li5ScCd6 structure. Source: the Alexandria database, functional PBE-GGA.

Energy of formation from the pure elements   -0.24 eV/atom
SG   C2/m (12)
Calculated volume   19.3 Å³/atom
Total DFT energy (no corrections)   -2.02 eV per atom

Lattice parameters (Å, degrees): 8.207 8.207 4.762 106.00 106.00 49.10
Element x y z (fractional)
Li (0.000, 0.000, 0.000)
Li (0.169, 0.169, 0.671)
Li (0.339, 0.339, 0.339)
Li (0.661, 0.661, 0.661)
Li (0.831, 0.831, 0.329)
Sc (0.500, 0.500, 0.000)
Cd (0.069, 0.590, 0.827)
Cd (0.232, 0.768, 0.500)
Cd (0.410, 0.931, 0.173)
Cd (0.590, 0.069, 0.827)
Cd (0.768, 0.232, 0.500)
Cd (0.931, 0.410, 0.173)

=====

A geometry-optimized Tb2Pr2Se3S2 structure. Source: the Alexandria database, functional PBE-GGA.

SG   I4/mmm (139)
Calculated volume   26.1 Å³/atom
Total DFT energy (no corrections)   -5.71 eV per atom
Uncorrected formation energy   -1.5421 eV per atom

Lattice parameters (Å, degrees): 8.323 8.323 8.323 140.10 140.10 57.70
Element x y z (fractional)
Tb (0.000, 0.500, 0.500)
Tb (0.500, 0.000, 0.500)
Pr (0.212, 0.212, 0.000)
Pr (0.788, 0.788, 0.000)
Se (0.000, 0.000, 0.000)
Se (0.250, 0.750, 0.500)
Se (0.750, 0.250, 0.500)
S (0.403, 0.403, 0.000)
S (0.597, 0.597, 0.000)

=====

A geometry-optimized Cd2Hg3BiPb3 structure. Source: the Alexandria database, functional PBE-GGA.

Energy of formation from the pure elements   0.07 eV/atom
SG   P-62m (189)
Calculated volume   29.7 Å³/atom
Total DFT energy (no corrections)   -1.90 eV per atom

Lattice parameters (Å, degrees): 8.494 8.494 4.284 90.00 90.00 120.00
Element x y z (fractional)
Cd (0.333, 0.667, 0.000)
Cd (0.667, 0.333, 0.000)
Hg (0.000, 0.599, 0.500)
Hg (0.401, 0.401, 0.500)
Hg (0.599, 0.000, 0.500)
Bi (0.000, 0.000, 0.500)
Pb (0.000, 0.286, 0.000)
Pb (0.286, 0.000, 0.000)
Pb (0.714, 0.714, 0.000)

=====

A geometry-optimized Nd4HoGa2 structure. Source: the Alexandria database, functional PBE-GGA.

Energy of formation from the pure elements   -0.09 eV/atom
SG   R-3m (166)
Calculated volume   32.3 Å³/atom
Total DFT energy (no corrections)   -4.33 eV per atom

Lattice parameters (Å, degrees): 10.583 10.583 10.583 27.68 27.68 27.68
Element x y z (fractional)
Nd (0.105, 0.105, 0.105)
Nd (0.298, 0.298, 0.298)
Nd (0.702, 0.702, 0.702)
Nd (0.895, 0.895, 0.895)
Ho (0.500, 0.500, 0.500)
Ga (0.402, 0.402, 0.402)
Ga (0.598, 0.598, 0.598)

=====

A geometry-optimized Sc3SbC structure. Source: the Alexandria database, functional PBE-GGA.

SG   C2/m (12)
Calculated volume   19.3 Å³/atom
Total DFT energy (no corrections)   -6.95 eV per atom
Uncorrected formation energy   -0.4863 eV per atom

Lattice parameters (Å, degrees): 6.010 6.010 10.372 98.23 98.23 31.43
Element x y z (fractional)
Sc (0.025, 0.025, 0.380)
Sc (0.230, 0.230, 0.623)
Sc (0.391, 0.391, 0.108)
Sc (0.609, 0.609, 0.892)
Sc (0.770, 0.770, 0.377)
Sc (0.975, 0.975, 0.620)
Sb (0.131, 0.131, 0.140)
Sb (0.869, 0.869, 0.860)
C (0.375, 0.375, 0.492)
C (0.625, 0.625, 0.508)

=====

A geometry-optimized TbDyTm3 structure. Source: the Alexandria database, functional PBE-GGA.

Energy of formation from the pure elements   0.00 eV/atom
SG   P-1 (2)
Calculated volume   30.9 Å³/atom
Offset from the most stable computed form   0 meV/atom
Total DFT energy (no corrections)   -4.53 eV per atom

Lattice parameters (Å, degrees): 6.201 6.620 9.079 72.36 89.99 62.11
Element x y z (fractional)
Tb (0.032, 0.101, 0.150)
Tb (0.968, 0.899, 0.850)
Dy (0.367, 0.100, 0.650)
Dy (0.633, 0.900, 0.350)
Tm (0.167, 0.499, 0.250)
Tm (0.234, 0.700, 0.549)
Tm (0.434, 0.300, 0.950)
Tm (0.566, 0.700, 0.050)
Tm (0.766, 0.300, 0.451)
Tm (0.833, 0.501, 0.750)

=====

A geometry-optimized CoAs structure. Source: the Alexandria database, functional PBE-GGA.

Energy of formation from the pure elements   -0.05 eV/atom
SG   I-43m (217)
Calculated volume   21.1 Å³/atom
Total DFT energy (no corrections)   -5.93 eV per atom

Lattice parameters (Å, degrees): 6.034 6.034 6.034 109.47 109.47 109.47
Element x y z (fractional)
Co (0.000, 0.000, 0.742)
Co (0.000, 0.742, 0.000)
Co (0.258, 0.258, 0.258)
Co (0.742, 0.000, 0.000)
As (0.000, 0.000, 0.377)
As (0.000, 0.377, 0.000)
As (0.377, 0.000, 0.000)
As (0.623, 0.623, 0.623)

=====

A geometry-optimized RbCuC2 structure. Source: the Alexandria database, functional PBE-GGA.

Energy of formation from the pure elements   1.75 eV/atom
SG   I4_1/amd (141)
Calculated volume   16.9 Å³/atom
Offset from the most stable computed form   1481 meV/atom
Total DFT energy (no corrections)   -4.12 eV per atom

Lattice parameters (Å, degrees): 6.948 6.948 6.948 140.36 140.36 57.31
Element x y z (fractional)
Rb (0.375, 0.625, 0.750)
Rb (0.625, 0.375, 0.250)
Cu (0.125, 0.875, 0.250)
Cu (0.875, 0.125, 0.750)
C (0.000, 0.000, 0.000)
C (0.000, 0.000, 0.500)
C (0.000, 0.500, 0.000)
C (0.500, 0.000, 0.500)

=====

A geometry-optimized Cs2BiAs structure. Source: the Alexandria database, functional PBE-GGA.

Energy of formation from the pure elements   -0.28 eV/atom
SG   P1 (1)
Calculated volume   49.9 Å³/atom
Offset from the most stable computed form   100 meV/atom
Total DFT energy (no corrections)   -2.84 eV per atom

Lattice parameters (Å, degrees): 5.619 6.399 6.400 60.07 89.99 90.00
Element x y z (fractional)
Cs (0.000, 0.000, 0.000)
Cs (0.401, 0.666, 0.667)
Bi (0.699, 0.322, 0.341)
As (0.199, 0.346, 0.325)

=====

A geometry-optimized ZnFeNi2 structure. Source: the Alexandria database, functional PBE-GGA.

Energy of formation from the pure elements   -0.01 eV/atom
SG   F-43m (216)
Calculated volume   11.8 Å³/atom
Total DFT energy (no corrections)   -5.34 eV per atom

Lattice parameters (Å, degrees): 4.051 4.051 4.051 60.00 60.00 60.00
Element x y z (fractional)
Zn (0.000, 0.000, 0.000)
Fe (0.250, 0.250, 0.250)
Ni (0.500, 0.500, 0.500)
Ni (0.750, 0.750, 0.750)

=====

A geometry-optimized Nd4CdHg structure. Source: the Alexandria database, functional PBE-GGA.

Energy of formation from the pure elements   -0.12 eV/atom
SG   P2_1/c (14)
Calculated volume   30.8 Å³/atom
Offset from the most stable computed form   129 meV/atom
Total DFT energy (no corrections)   -3.50 eV per atom

Lattice parameters (Å, degrees): 6.317 9.714 6.342 90.00 108.25 90.00
Element x y z (fractional)
Nd (0.088, 0.163, 0.096)
Nd (0.088, 0.337, 0.596)
Nd (0.409, 0.660, 0.914)
Nd (0.409, 0.840, 0.414)
Nd (0.591, 0.160, 0.586)
Nd (0.591, 0.340, 0.086)
Nd (0.912, 0.663, 0.404)
Nd (0.912, 0.837, 0.904)
Cd (0.500, 0.000, 0.000)
Cd (0.500, 0.500, 0.500)
Hg (0.000, 0.000, 0.500)
Hg (0.000, 0.500, 0.000)

=====

A geometry-optimized CaTbTh2 structure. Source: the Alexandria database, functional PBE-GGA.

Energy of formation from the pure elements   0.13 eV/atom
SG   R3m (160)
Calculated volume   33.6 Å³/atom
Offset from the most stable computed form   0 meV/atom
Total DFT energy (no corrections)   -5.24 eV per atom

Lattice parameters (Å, degrees): 12.357 12.357 12.357 16.60 16.60 16.60
Element x y z (fractional)
Ca (0.000, 0.000, 0.000)
Tb (0.831, 0.831, 0.831)
Th (0.245, 0.245, 0.245)
Th (0.419, 0.419, 0.419)

=====

Q: What is the calculated volume in the eleventh record?
A: 30.8 Å³/atom